## Pm4ErTm2 (PBE-GGA)

Data for an optimized crystal structure of Pm4ErTm2.

The value obtained for the total energy is -4.5153 eV/atom. The total magnetic moment is 0.00 μB per formula unit. The calculation puts the relative energy among the computed polymorphs at 0.073 eV/atom. The formation energy comes out at 0.129 eV per atom. The space-group type is P2_1/m (11).

abc: 6.219 6.594 11.519
angles: 90.00 104.83 90.00
Positions (direct):
Pm: 0.648 0.510 0.285
Pm: 0.352 0.490 0.715
Er: 0.151 0.750 0.165
Tm: 0.389 0.250 0.005
Pm: 0.150 0.750 0.451
Pm: 0.955 0.250 0.134
Pm: 0.648 0.990 0.285
Tm: 0.289 0.250 0.422
Pm: 0.045 0.750 0.866
Tm: 0.611 0.750 0.995
Pm: 0.352 0.010 0.715
Pm: 0.850 0.250 0.549
Tm: 0.711 0.750 0.578
Er: 0.849 0.250 0.835


## Pm3Er5Tm (PBE-GGA)

Data for an optimized crystal structure of Pm3Er5Tm.

The value obtained for the total energy is -4.3422 eV/atom. The total magnetic moment is 0.00 μB per formula unit. The formation energy comes out at 0.273 eV per atom. The space-group type is I4/mcm (140).

abc: 8.685 8.685 9.817
angles: 116.25 116.25 90.00
Positions (direct):
Pm: 0.384 0.884 0.000
Er: 0.428 0.348 0.276
Er: 0.652 0.152 0.724
Er: 0.928 0.428 0.276
Pm: 0.250 0.250 0.500
Er: 0.572 0.652 0.724
Pm: 0.884 0.616 0.000
Er: 0.348 0.848 0.276
Pm: 0.116 0.384 0.000
Tm: 0.750 0.250 0.500
Pm: 0.616 0.116 0.000
Pm: 0.750 0.750 0.500
Er: 0.000 0.000 0.000
Tm: 0.250 0.750 0.500
Er: 0.152 0.072 0.724
Er: 0.500 0.500 0.000
Er: 0.072 0.572 0.724
Er: 0.848 0.928 0.276


## Pm3Er5Tm3 (PBE-GGA)

Data for an optimized crystal structure of Pm3Er5Tm3.

The value obtained for the total energy is -3.7571 eV/atom. The total magnetic moment is 0.00 μB per formula unit. The formation energy comes out at 0.832 eV per atom. The space-group type is P-62m (189).

abc: 5.279 9.627 9.627
angles: 120.00 90.00 90.00
Positions (direct):
Er: 0.500 0.000 0.752
Er: 0.500 0.248 0.248
Tm: 0.000 0.437 0.437
Tm: 0.000 0.563 0.000
Pm: 0.500 0.000 0.372
Pm: 0.500 0.372 0.000
Er: 0.500 0.333 0.667
Er: 0.500 0.752 0.000
Er: 0.500 0.667 0.333
Tm: 0.000 0.000 0.563
Pm: 0.500 0.628 0.628


## Pm4Er8Tm (PBE-GGA)

Data for an optimized crystal structure of Pm4Er8Tm.

The value obtained for the total energy is -4.0931 eV/atom. The total magnetic moment is 1.14 μB per formula unit. The formation energy comes out at 0.521 eV per atom. The space-group type is R-3m (166).

abc: 7.744 7.744 7.744
angles: 90.06 90.06 90.06
Last column: magnetic moment on the atom in μB.
Positions (direct):
Er: 0.241 0.241 0.241  0.06
Er: 0.759 0.240 0.240  0.06
Er: 0.760 0.760 0.241  0.06
Tm: 0.500 0.500 0.500  0.06
Er: 0.241 0.760 0.760  0.06
Er: 0.759 0.759 0.759  0.06
Er: 0.760 0.241 0.760  0.06
Pm: 0.500 0.500 0.000  0.12
Pm: 0.500 0.000 0.500  0.12
Pm: 0.000 0.000 0.000  -0.04
Er: 0.240 0.240 0.759  0.06
Pm: 0.000 0.500 0.500  0.12
Er: 0.240 0.759 0.240  0.06


## PmErTm6 (PBE-GGA)

Data for an optimized crystal structure of PmErTm6.

The value obtained for the total energy is -4.0801 eV/atom. The total magnetic moment is 0.78 μB per formula unit. The calculation puts the relative energy among the computed polymorphs at 0.309 eV/atom. The formation energy comes out at 0.438 eV per atom. The space-group type is C2/m (12).

abc: 6.994 6.994 6.965
angles: 104.31 104.31 120.55
Last column: magnetic moment on the atom in μB.
Positions (direct):
Tm: 0.247 0.247 0.749  0.15
Tm: 0.982 0.528 0.748  0.04
Pm: 0.000 0.000 0.000  0.16
Tm: 0.018 0.472 0.252  0.04
Tm: 0.472 0.018 0.252  0.04
Tm: 0.528 0.982 0.748  0.04
Tm: 0.753 0.753 0.251  0.15
Er: 0.500 0.500 0.500  0.09


## Pm12Er6Tm (PBE-GGA)

Data for an optimized crystal structure of Pm12Er6Tm.

The value obtained for the total energy is -4.6599 eV/atom. The total magnetic moment is 0.00 μB per formula unit. The calculation puts the relative energy among the computed polymorphs at 0.000 eV/atom. The formation energy comes out at 0.017 eV per atom. The space-group type is R-3 (148).

abc: 9.507 9.507 9.507
angles: 110.89 110.89 110.89
Positions (direct):
Er: 0.317 0.472 0.213
Pm: 0.104 0.157 0.737
Tm: 0.000 0.000 0.000
Er: 0.213 0.317 0.472
Pm: 0.896 0.843 0.263
Pm: 0.629 0.944 0.420
Er: 0.472 0.213 0.317
Pm: 0.157 0.737 0.104
Pm: 0.737 0.104 0.157
Pm: 0.944 0.420 0.629
Er: 0.787 0.683 0.528
Pm: 0.843 0.263 0.896
Pm: 0.263 0.896 0.843
Pm: 0.056 0.580 0.371
Pm: 0.420 0.629 0.944
Er: 0.528 0.787 0.683
Er: 0.683 0.528 0.787
Pm: 0.580 0.371 0.056
Pm: 0.371 0.056 0.580


## Pm6Er6Tm (PBE-GGA)

Data for an optimized crystal structure of Pm6Er6Tm.

The value obtained for the total energy is -4.3628 eV/atom. The total magnetic moment is 2.78 μB per formula unit. The formation energy comes out at 0.280 eV per atom. The space-group type is P6/mmm (191).

abc: 6.708 6.709 11.345
angles: 90.00 90.00 119.98
Last column: magnetic moment on the atom in μB.
Positions (direct):
Pm: 0.000 0.000 0.660  0.15
Pm: 0.333 0.667 0.500  0.21
Pm: 0.667 0.333 0.500  0.21
Er: 0.500 0.500 0.245  0.14
Er: 0.500 0.000 0.755  0.14
Er: 0.000 0.500 0.245  0.14
Pm: 0.333 0.667 0.000  0.04
Pm: 0.000 0.000 0.340  0.15
Er: 0.000 0.500 0.755  0.14
Er: 0.500 0.500 0.755  0.14
Pm: 0.667 0.333 0.000  0.04
Tm: 0.000 0.000 0.000  0.06
Er: 0.500 0.000 0.245  0.14


## Pm7Er6Tm16 (PBE-GGA)

Data for an optimized crystal structure of Pm7Er6Tm16.

The value obtained for the total energy is -4.3633 eV/atom. The total magnetic moment is 0.00 μB per formula unit. The formation energy comes out at 0.194 eV per atom. The space-group type is Fm-3m (225).

abc: 10.942 10.942 10.942
angles: 60.00 60.00 60.00
Positions (direct):
Er: 0.225 0.225 0.775
Pm: 0.500 0.000 0.000
Tm: 0.613 0.613 0.613
Tm: 0.387 0.840 0.387
Tm: 0.160 0.613 0.613
Pm: 0.000 0.500 0.500
Pm: 0.000 0.000 0.500
Er: 0.775 0.225 0.225
Tm: 0.851 0.851 0.851
Tm: 0.840 0.387 0.387
Tm: 0.613 0.160 0.613
Tm: 0.851 0.448 0.851
Tm: 0.613 0.613 0.160
Tm: 0.448 0.851 0.851
Er: 0.225 0.775 0.225
Pm: 0.000 0.500 0.000
Pm: 0.500 0.000 0.500
Pm: 0.000 0.000 0.000
Tm: 0.387 0.387 0.840
Tm: 0.149 0.149 0.149
Tm: 0.552 0.149 0.149
Pm: 0.500 0.500 0.000
Tm: 0.387 0.387 0.387
Er: 0.225 0.775 0.775
Tm: 0.851 0.851 0.448
Tm: 0.149 0.552 0.149
Er: 0.775 0.225 0.775
Er: 0.775 0.775 0.225
Tm: 0.149 0.149 0.552


## PmEr3Tm3 (PBE-GGA)

Data for an optimized crystal structure of PmEr3Tm3.

The value obtained for the total energy is -4.3280 eV/atom. The total magnetic moment is 0.00 μB per formula unit. The calculation puts the relative energy among the computed polymorphs at 0.216 eV/atom. The formation energy comes out at 0.223 eV per atom. The space-group type is R-3 (148).

abc: 8.716 8.716 8.716
angles: 58.55 58.55 58.55
Positions (direct):
Tm: 0.285 0.827 0.065
Pm: 0.651 0.651 0.651
Tm: 0.935 0.715 0.173
Tm: 0.715 0.173 0.935
Er: 0.728 0.570 0.063
Er: 0.063 0.728 0.570
Pm: 0.349 0.349 0.349
Tm: 0.173 0.935 0.715
Tm: 0.827 0.065 0.285
Er: 0.272 0.430 0.937
Er: 0.430 0.937 0.272
Tm: 0.065 0.285 0.827
Er: 0.937 0.272 0.430
Er: 0.570 0.063 0.728


## Pm4Er3Tm3 (PBE-GGA)

Data for an optimized crystal structure of Pm4Er3Tm3.

The value obtained for the total energy is -4.5083 eV/atom. The total magnetic moment is 0.00 μB per formula unit. The formation energy comes out at 0.102 eV per atom. The space-group type is Amm2 (38).

abc: 3.773 9.227 9.227
angles: 89.97 90.00 90.00
Positions (direct):
Er: 0.000 0.500 0.000
Er: 0.500 0.168 0.832
Er: 0.000 0.000 0.500
Pm: 0.000 0.369 0.631
Pm: 0.000 0.131 0.131
Tm: 0.500 0.668 0.668
Tm: 0.500 0.332 0.332
Tm: 0.500 0.832 0.168
Pm: 0.000 0.631 0.369
Pm: 0.000 0.869 0.869


## PmEr3Tm3 (PBE-GGA)

Data for an optimized crystal structure of PmEr3Tm3.

The value obtained for the total energy is -4.5444 eV/atom. The total magnetic moment is 0.01 μB per formula unit. The calculation puts the relative energy among the computed polymorphs at 0.000 eV/atom. The formation energy comes out at 0.006 eV per atom. The space-group type is P6_3/m (176).

abc: 5.597 9.485 9.485
angles: 120.00 90.00 90.00
Positions (direct):
Er: 0.750 0.763 0.952
Tm: 0.750 0.477 0.096
Er: 0.250 0.811 0.763
Pm: 0.750 0.333 0.667
Tm: 0.250 0.381 0.477
Tm: 0.750 0.904 0.381
Tm: 0.750 0.619 0.523
Pm: 0.250 0.667 0.333
Er: 0.250 0.952 0.189
Er: 0.750 0.189 0.237
Tm: 0.250 0.523 0.904
Er: 0.250 0.237 0.048
Er: 0.750 0.048 0.811
Tm: 0.250 0.096 0.619


## Pm3ErTm6 (PBE-GGA)

Data for an optimized crystal structure of Pm3ErTm6.

The value obtained for the total energy is -4.2669 eV/atom. The total magnetic moment is 0.00 μB per formula unit. The calculation puts the relative energy among the computed polymorphs at 0.146 eV/atom. The formation energy comes out at 0.297 eV per atom. The space-group type is R3 (146).

abc: 9.796 9.796 6.840
angles: 44.27 44.27 60.00
Positions (direct):
Pm: 0.100 0.100 0.701
Tm: 0.432 0.772 0.699
Tm: 0.772 0.097 0.699
Er: 0.849 0.849 0.452
Tm: 0.929 0.605 0.198
Pm: 0.349 0.349 0.953
Tm: 0.269 0.929 0.198
Pm: 0.599 0.599 0.203
Tm: 0.097 0.432 0.699
Tm: 0.605 0.269 0.198


## Pm2ErTm5 (PBE-GGA)

Data for an optimized crystal structure of Pm2ErTm5.

The value obtained for the total energy is -4.5279 eV/atom. The total magnetic moment is 0.00 μB per formula unit. The calculation puts the relative energy among the computed polymorphs at 0.000 eV/atom. The formation energy comes out at 0.025 eV per atom. The space-group type is Pbam (55).

abc: 4.987 7.060 14.120
angles: 90.00 90.00 90.00
Positions (direct):
Pm: 0.500 0.750 0.375
Pm: 0.500 0.750 0.875
Tm: 0.500 0.250 0.375
Tm: 0.500 0.750 0.125
Tm: 0.500 0.250 0.875
Tm: 0.000 0.000 0.000
Er: 0.000 0.000 0.500
Tm: 0.000 0.500 0.500
Tm: 0.000 0.000 0.250
Pm: 0.500 0.250 0.625
Tm: 0.000 0.500 0.750
Er: 0.000 0.500 0.000
Pm: 0.500 0.250 0.125
Tm: 0.000 0.000 0.750
Tm: 0.500 0.750 0.625
Tm: 0.000 0.500 0.250


## Pm4Er9Tm11 (PBE-GGA)

Data for an optimized crystal structure of Pm4Er9Tm11.

The value obtained for the total energy is -4.4943 eV/atom. The total magnetic moment is 0.56 μB per formula unit. The formation energy comes out at 0.058 eV per atom. The space-group type is Cmmm (65).

abc: 3.647 14.895 14.895
angles: 112.70 90.00 90.00
Last column: magnetic moment on the atom in μB.
Positions (direct):
Pm: 0.500 0.446 0.245  0.00
Pm: 0.500 0.245 0.446  0.00
Er: 0.500 0.634 0.162  0.06
Tm: 0.000 0.636 0.364  0.00
Er: 0.500 0.066 0.212  0.00
Er: 0.500 0.366 0.838  0.06
Tm: 0.000 0.841 0.159  0.01
Pm: 0.500 0.554 0.755  0.00
Er: 0.500 0.934 0.788  0.00
Er: 0.500 0.838 0.366  0.06
Tm: 0.000 0.593 0.956  0.04
Tm: 0.000 0.364 0.636  0.00
Er: 0.500 0.788 0.934  0.00
Er: 0.500 0.500 0.500  0.00
Tm: 0.000 0.287 0.287  0.01
Er: 0.500 0.212 0.066  0.00
Tm: 0.000 0.000 0.000  0.01
Tm: 0.000 0.713 0.713  0.01
Pm: 0.500 0.755 0.554  0.00
Tm: 0.000 0.159 0.841  0.01
Tm: 0.000 0.407 0.044  0.04
Er: 0.500 0.162 0.634  0.06
Tm: 0.000 0.044 0.407  0.04
Tm: 0.000 0.956 0.593  0.04


## Pm8Er2Tm (PBE-GGA)

Data for an optimized crystal structure of Pm8Er2Tm.

The value obtained for the total energy is -4.5130 eV/atom. The total magnetic moment is 0.00 μB per formula unit. The calculation puts the relative energy among the computed polymorphs at 0.064 eV/atom. The formation energy comes out at 0.178 eV per atom. The space-group type is C2/m (12).

abc: 6.184 10.215 10.215
angles: 38.71 67.76 67.76
Positions (direct):
Er: 0.104 0.721 0.721
Pm: 0.685 0.901 0.901
Pm: 0.323 0.108 0.578
Tm: 0.000 0.000 0.000
Pm: 0.212 0.534 0.534
Er: 0.896 0.279 0.279
Pm: 0.315 0.099 0.099
Pm: 0.788 0.466 0.466
Pm: 0.677 0.422 0.892
Pm: 0.677 0.892 0.422
Pm: 0.323 0.578 0.108


## Pm19Er6Tm4 (PBE-GGA)

Data for an optimized crystal structure of Pm19Er6Tm4.

The value obtained for the total energy is -4.3039 eV/atom. The total magnetic moment is 0.00 μB per formula unit. The formation energy comes out at 0.369 eV per atom. The space-group type is I23 (197).

abc: 10.908 10.908 10.907
angles: 109.47 109.47 109.47
Positions (direct):
Tm: 0.000 0.000 0.642
Pm: 0.739 0.000 0.739
Pm: 0.325 0.783 0.982
Tm: 0.000 0.642 0.000
Pm: 0.217 0.542 0.199
Pm: 0.739 0.739 0.000
Pm: 0.261 0.261 0.000
Pm: 0.675 0.657 0.458
Tm: 0.358 0.358 0.358
Er: 0.874 0.374 0.500
Pm: 0.261 0.000 0.261
Pm: 0.458 0.675 0.657
Pm: 0.982 0.325 0.783
Pm: 0.000 0.261 0.261
Pm: 0.000 0.739 0.739
Pm: 0.657 0.458 0.675
Pm: 0.801 0.343 0.018
Pm: 0.343 0.018 0.801
Pm: 0.000 0.000 0.000
Er: 0.500 0.874 0.374
Pm: 0.199 0.217 0.542
Er: 0.374 0.500 0.874
Er: 0.500 0.126 0.626
Pm: 0.542 0.199 0.217
Pm: 0.018 0.801 0.343
Pm: 0.783 0.982 0.325
Tm: 0.642 0.000 0.000
Er: 0.126 0.626 0.500
Er: 0.626 0.500 0.126


## Pm3Er2Tm8 (PBE-GGA)

Data for an optimized crystal structure of Pm3Er2Tm8.

The value obtained for the total energy is -4.3079 eV/atom. The total magnetic moment is 0.00 μB per formula unit. The calculation puts the relative energy among the computed polymorphs at 0.218 eV/atom. The formation energy comes out at 0.242 eV per atom. The space-group type is C2/m (12).

abc: 6.875 9.396 9.396
angles: 57.63 61.20 61.20
Positions (direct):
Tm: 0.013 0.193 0.193
Tm: 0.441 0.438 0.799
Tm: 0.934 0.417 0.417
Tm: 0.559 0.201 0.562
Pm: 0.000 0.177 0.823
Er: 0.492 0.216 0.216
Tm: 0.987 0.807 0.807
Tm: 0.559 0.562 0.201
Tm: 0.066 0.583 0.583
Pm: 0.500 0.000 0.000
Er: 0.508 0.784 0.784
Tm: 0.441 0.799 0.438
Pm: 0.000 0.823 0.177


## Pm2ErTm2 (PBE-GGA)

Data for an optimized crystal structure of Pm2ErTm2.

The value obtained for the total energy is -4.5794 eV/atom. The total magnetic moment is 0.00 μB per formula unit. The calculation puts the relative energy among the computed polymorphs at 0.000 eV/atom. The formation energy comes out at 0.022 eV per atom. The space-group type is C2/m (12).

abc: 5.026 6.150 12.819
angles: 108.55 78.70 65.88
Positions (direct):
Er: 0.697 0.753 0.853
Er: 0.303 0.247 0.147
Pm: 0.498 0.251 0.754
Tm: 0.099 0.751 0.050
Pm: 0.098 0.253 0.552
Pm: 0.902 0.747 0.448
Tm: 0.299 0.750 0.653
Tm: 0.701 0.250 0.347
Pm: 0.502 0.749 0.246
Tm: 0.901 0.249 0.950